# 1
## PmTh2Te5 (PBE)

Data for a geometry-optimized PmTh2Te5 structure.

a = 8.3392 Å, b = 8.3392 Å, c = 9.3692 Å
α = 116.43°, β = 116.43°, γ = 90.00°
Site moments in Bohr magnetons follow the coordinates.
Sites, in units of the cell vectors:
Te 0.0102 0.5102 0.7020  0.00
Te 0.4898 0.3082 0.2980  0.00
Te 0.5102 0.6918 0.7020  0.00
Te 0.9898 0.4898 0.2980  0.00
Te 0.6918 0.1918 0.7020  0.00
Te 0.0000 0.0000 0.0000  0.00
Te 0.1918 0.0102 0.7020  0.00
Te 0.3082 0.8082 0.2980  0.00
Te 0.5000 0.5000 0.0000  0.00
Te 0.8082 0.9898 0.2980  0.00
Pm 0.2500 0.2500 0.5000  0.01
Pm 0.7500 0.7500 0.5000  0.01
Th 0.8524 0.6476 0.0000  0.25
Th 0.3524 0.8524 0.0000  0.25
Th 0.6476 0.1476 0.0000  0.25
Th 0.1476 0.3524 0.0000  0.25

Summary:
Distance to the lowest polymorph of the same formula in meV per atom: 0
Uncorrected energy in eV per formula unit: -45.0
Total moment in μB/cell: 1.663
Energy relative to the elements, uncorrected in eV/atom: -1.207
ρ in g/cm3: 8.18



# 2
## PmThTe2 (PBE)

Data for a geometry-optimized PmThTe2 structure.

a = 5.4355 Å, b = 5.4355 Å, c = 5.4355 Å
α = 60.00°, β = 60.00°, γ = 60.00°
Sites, in units of the cell vectors:
Pm 0.5000 0.5000 0.5000
Te 0.7500 0.7500 0.7500
Te 0.2500 0.2500 0.2500
Th 0.0000 0.0000 0.0000

Summary:
Distance to the lowest polymorph of the same formula in meV per atom: 15
Uncorrected energy in eV per formula unit: -23.2
Total moment in μB/cell: 0.000
Energy relative to the elements, uncorrected in eV/atom: -1.197
ρ in g/cm3: 9.25



# 3
## Pm6ThTe12 (PBE)

Data for a geometry-optimized Pm6ThTe12 structure.

a = 9.0603 Å, b = 9.0603 Å, c = 9.0603 Å
α = 99.32°, β = 99.32°, γ = 99.32°
Sites, in units of the cell vectors:
Te 0.4279 0.5713 0.1796
Te 0.8204 0.5721 0.4287
Te 0.5713 0.1796 0.4279
Te 0.9297 0.0334 0.6655
Te 0.1796 0.4279 0.5713
Te 0.9666 0.3345 0.0703
Te 0.5721 0.4287 0.8204
Te 0.6655 0.9297 0.0334
Te 0.0703 0.9666 0.3345
Te 0.3345 0.0703 0.9666
Te 0.4287 0.8204 0.5721
Te 0.0334 0.6655 0.9297
Pm 0.8623 0.3636 0.6884
Pm 0.1377 0.6364 0.3116
Pm 0.3636 0.6884 0.8623
Pm 0.6364 0.3116 0.1377
Pm 0.3116 0.1377 0.6364
Pm 0.6884 0.8623 0.3636
Th 0.0000 0.0000 0.0000

Summary:
Uncorrected energy in eV per formula unit: -96.7
Total moment in μB/cell: 0.000
Energy relative to the elements, uncorrected in eV/atom: -1.212
ρ in g/cm3: 6.15



# 4
## PmTh2Te5 (PBE)

Data for a geometry-optimized PmTh2Te5 structure.

a = 4.2883 Å, b = 8.8862 Å, c = 13.8536 Å
α = 90.00°, β = 90.00°, γ = 90.00°
Sites, in units of the cell vectors:
Pm 0.0000 0.5000 0.5000
Pm 0.0000 0.0000 0.0000
Te 0.5000 0.8265 0.8878
Te 0.0000 0.0000 0.5000
Te 0.0000 0.8122 0.1933
Te 0.0000 0.6878 0.6933
Te 0.0000 0.1878 0.8067
Te 0.0000 0.3122 0.3067
Te 0.5000 0.3265 0.6122
Te 0.5000 0.1735 0.1122
Te 0.5000 0.6735 0.3878
Te 0.0000 0.5000 0.0000
Th 0.5000 0.0189 0.3210
Th 0.5000 0.4811 0.8210
Th 0.5000 0.5189 0.1790
Th 0.5000 0.9811 0.6790

Summary:
Distance to the lowest polymorph of the same formula in meV per atom: 9
Uncorrected energy in eV per formula unit: -44.9
Total moment in μB/cell: 0.000
Energy relative to the elements, uncorrected in eV/atom: -1.197
ρ in g/cm3: 7.85



# 5
## PmThTe2 (PBE)

Data for a geometry-optimized PmThTe2 structure.

a = 4.2222 Å, b = 4.2222 Å, c = 8.5295 Å
α = 75.67°, β = 75.67°, γ = 60.00°
Sites, in units of the cell vectors:
Th 0.4986 0.4986 0.5041
Te 0.2513 0.2513 0.2461
Te 0.0822 0.0822 0.7535
Pm 0.6679 0.6679 0.9962

Summary:
Distance to the lowest polymorph of the same formula in meV per atom: 2
Uncorrected energy in eV per formula unit: -23.3
Total moment in μB/cell: 0.000
Energy relative to the elements, uncorrected in eV/atom: -1.210
ρ in g/cm3: 8.32



# 6
## PmTh4Te8 (PBE)

Data for a geometry-optimized PmTh4Te8 structure.

a = 8.9971 Å, b = 8.9971 Å, c = 8.9971 Å
α = 60.00°, β = 60.00°, γ = 60.00°
Sites, in units of the cell vectors:
Th 0.3596 0.3596 0.9211
Th 0.9211 0.3596 0.3596
Th 0.3596 0.3596 0.3596
Th 0.3596 0.9211 0.3596
Te 0.6133 0.1600 0.6133
Te 0.1153 0.6540 0.1153
Te 0.1600 0.6133 0.6133
Te 0.6133 0.6133 0.1600
Te 0.6540 0.1153 0.1153
Te 0.1153 0.1153 0.6540
Te 0.6133 0.6133 0.6133
Te 0.1153 0.1153 0.1153
Pm 0.7500 0.7500 0.7500

Summary:
Uncorrected energy in eV per formula unit: -73.7
Total moment in μB/cell: 0.000
Energy relative to the elements, uncorrected in eV/atom: -1.088
ρ in g/cm3: 6.75



# 7
## Pm3Th2Te8 (PBE)

Data for a geometry-optimized Pm3Th2Te8 structure.

a = 5.4060 Å, b = 10.7558 Å, c = 9.3437 Å
α = 125.18°, β = 90.00°, γ = 90.00°
Site moments in Bohr magnetons follow the coordinates.
Sites, in units of the cell vectors:
Th 0.5000 0.7460 0.4921  0.10
Th 0.5000 0.2540 0.5079  0.10
Pm 0.0000 0.2729 0.9999  0.04
Pm 0.5000 0.0000 0.0000  0.22
Pm 0.0000 0.7271 0.0001  0.04
Te 0.0000 0.3674 0.7349  0.00
Te 0.5000 0.1207 0.7506  0.00
Te 0.0000 0.6326 0.2651  0.00
Te 0.5000 0.6300 0.7506  0.00
Te 0.5000 0.8793 0.2494  0.00
Te 0.0000 0.8801 0.7603  -0.01
Te 0.0000 0.1199 0.2397  -0.01
Te 0.5000 0.3700 0.2494  0.00

Summary:
Uncorrected energy in eV per formula unit: -69.8
Total moment in μB/cell: 0.921
Energy relative to the elements, uncorrected in eV/atom: -1.197
ρ in g/cm3: 7.18



# 8
## PmThTe2 (PBE)

Data for a geometry-optimized PmThTe2 structure.

a = 4.4023 Å, b = 4.4023 Å, c = 7.9176 Å
α = 73.86°, β = 73.86°, γ = 60.00°
Sites, in units of the cell vectors:
Te 0.7514 0.7514 0.7457
Te 0.2486 0.2486 0.2543
Th 0.0000 0.0000 0.0000
Pm 0.5000 0.5000 0.5000

Summary:
Distance to the lowest polymorph of the same formula in meV per atom: 12
Uncorrected energy in eV per formula unit: -23.3
Total moment in μB/cell: 0.000
Energy relative to the elements, uncorrected in eV/atom: -1.200
ρ in g/cm3: 8.34



# 9
## Pm6ThTe8 (PBE)

Data for a geometry-optimized Pm6ThTe8 structure.

a = 8.8921 Å, b = 8.8921 Å, c = 8.8921 Å
α = 60.00°, β = 60.00°, γ = 60.00°
Sites, in units of the cell vectors:
Te 0.7500 0.7500 0.7500
Te 0.2574 0.2574 0.7426
Te 0.7426 0.2574 0.2574
Te 0.2500 0.2500 0.2500
Te 0.7426 0.7426 0.2574
Te 0.2574 0.7426 0.2574
Te 0.7426 0.2574 0.7426
Te 0.2574 0.7426 0.7426
Pm 0.5000 0.0000 0.0000
Pm 0.0000 0.5000 0.0000
Pm 0.5000 0.0000 0.5000
Pm 0.0000 0.0000 0.5000
Pm 0.0000 0.5000 0.5000
Pm 0.5000 0.5000 0.0000
Th 0.0000 0.0000 0.0000

Summary:
Uncorrected energy in eV per formula unit: -81.9
Total moment in μB/cell: 0.000
Energy relative to the elements, uncorrected in eV/atom: -1.387
ρ in g/cm3: 7.09



# 10
## PmThTe (PBE)

Data for a geometry-optimized PmThTe structure.

a = 3.8678 Å, b = 3.8678 Å, c = 6.9833 Å
α = 106.08°, β = 106.08°, γ = 90.00°
Sites, in units of the cell vectors:
Te 0.6666 0.6666 0.3332
Pm 0.3142 0.3142 0.6285
Th 0.0192 0.0192 0.0384

Summary:
Distance to the lowest polymorph of the same formula in meV per atom: 0
Uncorrected energy in eV per formula unit: -17.1
Total moment in μB/cell: 0.000
Energy relative to the elements, uncorrected in eV/atom: -0.611
ρ in g/cm3: 8.72



# 11
## Pm2ThTe3 (PBE)

Data for a geometry-optimized Pm2ThTe3 structure.

a = 4.4171 Å, b = 6.3202 Å, c = 7.7928 Å
α = 113.92°, β = 106.46°, γ = 90.00°
Sites, in units of the cell vectors:
Te 0.1679 0.6679 0.8359
Te 0.5000 0.0000 0.5000
Te 0.8321 0.3321 0.1641
Pm 0.1676 0.1676 0.8351
Pm 0.8324 0.8324 0.1649
Th 0.5000 0.5000 0.5000

Summary:
Uncorrected energy in eV per formula unit: -33.9
Total moment in μB/cell: 0.000
Energy relative to the elements, uncorrected in eV/atom: -1.260
ρ in g/cm3: 7.95



# 12
## Pm2Th2Te7 (PBE)

Data for a geometry-optimized Pm2Th2Te7 structure.

a = 4.4512 Å, b = 9.7599 Å, c = 9.7599 Å
α = 60.93°, β = 76.82°, γ = 76.82°
Sites, in units of the cell vectors:
Te 0.8619 0.4245 0.8516
Te 0.6088 0.4966 0.2859
Te 0.5000 0.0116 0.9884
Te 0.8175 0.0700 0.2950
Te 0.1381 0.1484 0.5755
Te 0.3912 0.7141 0.5034
Te 0.1825 0.7050 0.9300
Th 0.0000 0.7784 0.2216
Th 0.5000 0.3262 0.6738
Pm 0.2629 0.3267 0.1476
Pm 0.7371 0.8524 0.6733

Summary:
Distance to the lowest polymorph of the same formula in meV per atom: 9
Uncorrected energy in eV per formula unit: -60.5
Total moment in μB/cell: 0.000
Energy relative to the elements, uncorrected in eV/atom: -1.289
ρ in g/cm3: 7.65



# 13
## Pm3ThTe4 (PBE)

Data for a geometry-optimized Pm3ThTe4 structure.

a = 4.3483 Å, b = 4.3483 Å, c = 30.7388 Å
α = 90.00°, β = 90.00°, γ = 120.00°
Sites, in units of the cell vectors:
Pm 0.3333 0.6667 0.6233
Pm 0.6667 0.3333 0.1233
Pm 0.0000 0.0000 0.0000
Pm 0.6667 0.3333 0.3767
Pm 0.0000 0.0000 0.5000
Pm 0.3333 0.6667 0.8767
Th 0.3333 0.6667 0.2500
Th 0.6667 0.3333 0.7500
Te 0.6667 0.3333 0.9382
Te 0.0000 0.0000 0.6857
Te 0.3333 0.6667 0.4382
Te 0.0000 0.0000 0.3143
Te 0.0000 0.0000 0.8143
Te 0.6667 0.3333 0.5618
Te 0.0000 0.0000 0.1857
Te 0.3333 0.6667 0.0618

Summary:
Distance to the lowest polymorph of the same formula in meV per atom: 3
Uncorrected energy in eV per formula unit: -44.6
Total moment in μB/cell: 0.000
Energy relative to the elements, uncorrected in eV/atom: -1.298
ρ in g/cm3: 7.77



# 14
## Pm5Th2Te12 (PBE)

Data for a geometry-optimized Pm5Th2Te12 structure.

a = 8.4569 Å, b = 9.6931 Å, c = 10.2218 Å
α = 105.98°, β = 90.00°, γ = 115.86°
Sites, in units of the cell vectors:
Te 0.4948 0.9895 0.7675
Te 0.5409 0.6299 0.8938
Te 0.8891 0.2894 0.5597
Te 0.4591 0.3701 0.1062
Te 0.5997 0.7106 0.4403
Te 0.5052 0.0105 0.2325
Te 0.9111 0.3701 0.1062
Te 0.0889 0.6299 0.8938
Te 0.0315 0.0629 0.8095
Te 0.1109 0.7106 0.4403
Te 0.4003 0.2894 0.5597
Te 0.9685 0.9371 0.1905
Pm 0.3163 0.6325 0.1739
Pm 0.7094 0.4188 0.3703
Pm 0.6837 0.3675 0.8261
Pm 0.0000 0.0000 0.5000
Pm 0.2906 0.5812 0.6297
Th 0.2536 0.0000 0.0000
Th 0.7464 0.0000 0.0000

Summary:
Uncorrected energy in eV per formula unit: -99.1
Total moment in μB/cell: 0.000
Energy relative to the elements, uncorrected in eV/atom: -1.201
ρ in g/cm3: 6.29



# 15
## Pm4ThTe4 (PBE)

Data for a geometry-optimized Pm4ThTe4 structure.

a = 7.0616 Å, b = 7.0616 Å, c = 8.8921 Å
α = 113.40°, β = 113.40°, γ = 90.00°
Sites, in units of the cell vectors:
Te 0.6173 0.6173 0.7421
Te 0.1248 0.1248 0.7421
Te 0.3827 0.8752 0.2579
Te 0.8752 0.3827 0.2579
Pm 0.2497 0.2497 0.4994
Pm 0.5000 0.0000 0.0000
Pm 0.7503 0.7503 0.5006
Pm 0.0000 0.5000 0.0000
Th 0.0000 0.0000 0.0000

Summary:
Uncorrected energy in eV per formula unit: -45.7
Total moment in μB/cell: 0.000
Energy relative to the elements, uncorrected in eV/atom: -0.742
ρ in g/cm3: 5.99



# 16
## PmThTe2 (PBE)

Data for a geometry-optimized PmThTe2 structure.

a = 4.4665 Å, b = 4.4665 Å, c = 6.3194 Å
α = 90.00°, β = 90.00°, γ = 90.00°
Sites, in units of the cell vectors:
Th 0.0000 0.0000 0.0000
Te 0.0000 0.0000 0.5000
Te 0.5000 0.5000 0.0000
Pm 0.5000 0.5000 0.5000

Summary:
Distance to the lowest polymorph of the same formula in meV per atom: 15
Uncorrected energy in eV per formula unit: -23.2
Total moment in μB/cell: 0.000
Energy relative to the elements, uncorrected in eV/atom: -1.197
ρ in g/cm3: 8.33



# 17
## Pm2ThTe (PBE)

Data for a geometry-optimized Pm2ThTe structure.

a = 3.8808 Å, b = 3.8808 Å, c = 8.2776 Å
α = 90.00°, β = 90.00°, γ = 90.00°
Sites, in units of the cell vectors:
Pm 0.0000 0.0000 0.2753
Pm 0.0000 0.0000 0.7247
Th 0.5000 0.5000 0.0000
Te 0.5000 0.5000 0.5000

Summary:
Distance to the lowest polymorph of the same formula in meV per atom: 0
Uncorrected energy in eV per formula unit: -22.4
Total moment in μB/cell: 0.000
Energy relative to the elements, uncorrected in eV/atom: -0.591
ρ in g/cm3: 8.65



# 18
## PmThTe (PBE)

Data for a geometry-optimized PmThTe structure.

a = 3.8367 Å, b = 5.4451 Å, c = 5.4451 Å
α = 120.00°, β = 90.00°, γ = 90.00°
Sites, in units of the cell vectors:
Te 0.2019 0.3333 0.6667
Pm 0.6479 0.6667 0.3333
Th 0.1502 0.0000 0.0000

Summary:
Distance to the lowest polymorph of the same formula in meV per atom: 310
Uncorrected energy in eV per formula unit: -16.2
Total moment in μB/cell: 0.000
Energy relative to the elements, uncorrected in eV/atom: -0.301
ρ in g/cm3: 8.51



# 19
## Pm2ThTe4 (PBE)

Data for a geometry-optimized Pm2ThTe4 structure.

a = 4.4310 Å, b = 7.6754 Å, c = 7.6754 Å
α = 108.77°, β = 90.00°, γ = 90.00°
Sites, in units of the cell vectors:
Te 0.0000 0.7412 0.2588
Te 0.5000 0.7440 0.7440
Te 0.0000 0.2588 0.7412
Te 0.5000 0.2560 0.2560
Pm 0.5000 0.5000 0.0000
Pm 0.5000 0.0000 0.5000
Th 0.0000 0.0000 0.0000

Summary:
Distance to the lowest polymorph of the same formula in meV per atom: 0
Uncorrected energy in eV per formula unit: -38.9
Total moment in μB/cell: 0.000
Energy relative to the elements, uncorrected in eV/atom: -1.341
ρ in g/cm3: 6.94



# 20
## PmTh4Te5 (PBE)

Data for a geometry-optimized PmTh4Te5 structure.

a = 3.8536 Å, b = 3.8536 Å, c = 19.2528 Å
α = 90.00°, β = 90.00°, γ = 90.00°
Sites, in units of the cell vectors:
Th 0.0000 0.0000 0.8008
Th 0.0000 0.0000 0.6002
Th 0.0000 0.0000 0.1992
Th 0.0000 0.0000 0.3998
Te 0.5000 0.5000 0.2998
Te 0.5000 0.5000 0.7002
Te 0.5000 0.5000 0.5000
Te 0.5000 0.5000 0.8991
Te 0.5000 0.5000 0.1009
Pm 0.0000 0.0000 0.0000

Summary:
Uncorrected energy in eV per formula unit: -61.5
Total moment in μB/cell: 0.001
Energy relative to the elements, uncorrected in eV/atom: -1.136
ρ in g/cm3: 9.94



# 21
## PmTh3Te4 (PBE)

Data for a geometry-optimized PmTh3Te4 structure.

a = 4.5544 Å, b = 7.6818 Å, c = 7.6818 Å
α = 110.48°, β = 90.00°, γ = 90.00°
Sites, in units of the cell vectors:
Te 0.5000 0.2484 0.7516
Te 0.0000 0.2470 0.2470
Te 0.5000 0.7516 0.2484
Te 0.0000 0.7530 0.7530
Th 0.5000 0.5000 0.5000
Th 0.0000 0.0000 0.5000
Th 0.0000 0.5000 0.0000
Pm 0.5000 0.0000 0.0000

Summary:
Distance to the lowest polymorph of the same formula in meV per atom: 8
Uncorrected energy in eV per formula unit: -48.4
Total moment in μB/cell: 0.000
Energy relative to the elements, uncorrected in eV/atom: -1.105
ρ in g/cm3: 8.91



# 22
## PmThTe6 (PBE)

Data for a geometry-optimized PmThTe6 structure.

a = 4.4491 Å, b = 4.4504 Å, c = 13.6128 Å
α = 90.00°, β = 99.41°, γ = 90.00°
Sites, in units of the cell vectors:
Te 0.5799 0.5000 0.1598
Te 0.4207 0.0000 0.8415
Te 0.2917 0.5000 0.5834
Te 0.9208 0.5000 0.8416
Te 0.7063 0.0000 0.4126
Te 0.0799 0.0000 0.1598
Pm 0.8305 0.0000 0.6610
Th 0.1701 0.5000 0.3403

Summary:
Uncorrected energy in eV per formula unit: -38.9
Total moment in μB/cell: 0.000
Energy relative to the elements, uncorrected in eV/atom: -0.979
ρ in g/cm3: 7.14



# 23
## Pm2Th2Te7 (PBE)

Data for a geometry-optimized Pm2Th2Te7 structure.

a = 4.4571 Å, b = 9.6903 Å, c = 9.6903 Å
α = 61.54°, β = 76.70°, γ = 76.70°
Sites, in units of the cell vectors:
Te 0.6117 0.4904 0.2863
Te 0.5000 0.0112 0.9888
Te 0.1817 0.7074 0.9293
Te 0.8564 0.4321 0.8551
Te 0.1436 0.1449 0.5679
Te 0.8183 0.0707 0.2926
Te 0.3883 0.7137 0.5096
Pm 0.5000 0.3234 0.6766
Pm 0.0000 0.7778 0.2222
Th 0.7368 0.8542 0.6721
Th 0.2632 0.3279 0.1458

Summary:
Distance to the lowest polymorph of the same formula in meV per atom: 0
Uncorrected energy in eV per formula unit: -60.6
Total moment in μB/cell: 0.000
Energy relative to the elements, uncorrected in eV/atom: -1.298
ρ in g/cm3: 7.72